Entry 1:
Computed, not measured: a relaxed TaGeSb2Te crystal at the PBE level of DFT.

CIF file:
```
data_TaGeSb2Te
_cell_length_a 5.1649
_cell_length_b 5.1649
_cell_length_c 5.2082
_cell_angle_alpha 90.00
_cell_angle_beta 90.00
_cell_angle_gamma 90.00
_space_group_name_H-M_alt 'P 1'
_space_group_IT_number 1
_space_group_name_Hall 'P 1'
loop_
_atom_site_label
_atom_site_fract_x
_atom_site_fract_y
_atom_site_fract_z
_atom_site_occupancy
Sb1 0.0000 0.5000 0.0000 1
Sb2 0.5000 0.0000 0.0000 1
Ge1 0.0000 0.0000 0.0000 1
Te1 0.0000 0.0000 0.5000 1
Ta1 0.5000 0.5000 0.5000 1
```

Properties
Formation energy from raw total energies (eV/f.u.): 6.4
Crystal system: tetragonal
V (Å³ per atom): 27.79
Polymorph energy (0 for the lowest one) (meV per atom): 652.6
Space-group type: P4/mmm

Entry 2:
Computed, not measured: a relaxed TaGeSbTe2 crystal at the PBE level of DFT.

CIF file:
```
data_TaGeSbTe2
_cell_length_a 5.3725
_cell_length_b 5.3725
_cell_length_c 5.4462
_cell_angle_alpha 90.00
_cell_angle_beta 90.00
_cell_angle_gamma 90.00
_space_group_name_H-M_alt 'P 1'
_space_group_IT_number 1
_space_group_name_Hall 'P 1'
loop_
_atom_site_label
_atom_site_fract_x
_atom_site_fract_y
_atom_site_fract_z
_atom_site_occupancy
Sb1 0.0000 0.0000 0.5000 1
Ge1 0.5000 0.5000 0.5000 1
Te1 0.0000 0.5000 0.0000 1
Te2 0.5000 0.0000 0.0000 1
Ta1 0.0000 0.0000 0.0000 1
```

Properties
Formation energy from raw total energies (eV/f.u.): 2.8
Crystal system: tetragonal
V (Å³ per atom): 31.44
Polymorph energy (0 for the lowest one) (meV per atom): 0.0
Space-group type: P4/mmm

Entry 3:
Computed, not measured: a relaxed TaGeSbTe2 crystal at the PBE level of DFT.

CIF file:
```
data_TaGeSbTe2
_cell_length_a 5.2169
_cell_length_b 5.2169
_cell_length_c 5.1867
_cell_angle_alpha 90.00
_cell_angle_beta 90.00
_cell_angle_gamma 90.00
_space_group_name_H-M_alt 'P 1'
_space_group_IT_number 1
_space_group_name_Hall 'P 1'
loop_
_atom_site_label
_atom_site_fract_x
_atom_site_fract_y
_atom_site_fract_z
_atom_site_occupancy
Sb1 0.0000 0.0000 0.5000 1
Ge1 0.0000 0.0000 0.0000 1
Te1 0.0000 0.5000 0.0000 1
Te2 0.5000 0.0000 0.0000 1
Ta1 0.5000 0.5000 0.5000 1
```

Properties
Formation energy from raw total energies (eV/f.u.): 6.2
Crystal system: tetragonal
V (Å³ per atom): 28.23
Polymorph energy (0 for the lowest one) (meV per atom): 675.1
Space-group type: P4/mmm